1.
# Tc2HgAs

A geometry-optimized Tc2HgAs structure (PBE-GGA, Alexandria).

Cell lengths 3.071, 3.071, 6.905 Å; angles 90.00, 90.00, 90.00 degrees
Space group P4/mmm (No. 123)
Symmetry-distinct sites (fractional):
Tc: 0.000 0.000 0.200 x2
Hg: 0.500 0.500 0.500 x1
As: 0.500 0.500 0.000 x1

Output
volume = 16.28 Å³ per atom
magnetic moment = 0.000 μB/cell
ρ = 12.022 Mg/m³



2.
# Tc2HgAs

A geometry-optimized Tc2HgAs structure (PBE-GGA, Alexandria).

Cell lengths 3.062, 4.532, 4.866 Å; angles 90.00, 90.00, 90.00 degrees
Space group Pmmm (No. 47)
Symmetry-distinct sites (fractional):
Tc: 0.000 0.000 0.000 x1
Tc: 0.500 0.000 0.500 x1
Hg: 0.000 0.500 0.500 x1
As: 0.500 0.500 0.000 x1

Output
volume = 16.88 Å³ per atom
magnetic moment = 0.461 μB/cell
ρ = 11.597 Mg/m³



It is 1 that is the most stable of them.



1.
# LiLaBe

A geometry-optimized LiLaBe structure (PBE-GGA, Alexandria).

Cell lengths 3.469, 3.469, 10.647 Å; angles 90.00, 90.00, 90.00 degrees
Space group I4mm (No. 107)
Symmetry-distinct sites (fractional):
Li: 0.000 0.000 0.000 x2
La: 0.000 0.000 0.723 x2
Be: 0.000 0.000 0.393 x2

Output
volume = 21.36 Å³ per atom
magnetic moment = 0.000 μB/cell
ρ = 4.014 Mg/m³



2.
# LiLaBe

A geometry-optimized LiLaBe structure (PBE-GGA, Alexandria).

Cell lengths 4.7282, 4.7282, 3.2740 Å; angles 90.00, 90.00, 120.00 degrees
Space group P-6m2 (No. 187)
Symmetry-distinct sites (fractional):
Li: 0.0000 0.0000 0.0000 x1
La: 0.3333 0.6667 0.5000 x1
Be: 0.6667 0.3333 0.0000 x1

Output
volume = 21.13 Å³ per atom
magnetic moment = 0.000 μB/cell
ρ = 4.057 Mg/m³



It is 2 that is the most stable of them.



1.
# Co3P

A geometry-optimized Co3P structure (PBE-GGA, Alexandria).

Cell lengths 2.708, 3.933, 8.043 Å; angles 90.00, 90.00, 90.00 degrees
Space group Immm (No. 71)
Symmetry-distinct sites (fractional):
Co: 0.000 0.000 0.000 x2
Co: 0.000 0.500 0.218 x4
P: 0.000 0.000 0.500 x2

Output
volume = 10.71 Å³ per atom
magnetic moment = 6.281 μB/cell
ρ = 8.056 Mg/m³



2.
# Co3P

A geometry-optimized Co3P structure (PBE-GGA, Alexandria).

Cell lengths 2.626, 3.352, 4.876 Å; angles 90.00, 90.00, 90.00 degrees
Space group Pmmm (No. 47)
Symmetry-distinct sites (fractional):
Co: 0.000 0.000 0.000 x1
Co: 0.500 0.500 0.255 x2
P: 0.000 0.000 0.500 x1

Output
volume = 10.73 Å³ per atom
magnetic moment = 3.395 μB/cell
ρ = 8.040 Mg/m³



It is 1 that is the most stable of them.



1.
# B2C

A geometry-optimized B2C structure (PBE-GGA, Alexandria).

Cell lengths 4.566, 2.518, 7.376 Å; angles 90.00, 91.29, 90.00 degrees
Space group Pm (No. 6)
Symmetry-distinct sites (fractional):
B: 0.000 0.000 0.000 x1
B: 0.053 0.000 0.227 x1
B: 0.190 0.500 0.869 x1
B: 0.392 0.000 0.375 x1
B: 0.513 0.500 0.225 x1
B: 0.599 0.500 0.004 x1
B: 0.687 0.000 0.678 x1
B: 0.860 0.500 0.370 x1
C: 0.204 0.500 0.656 x1
C: 0.363 0.000 0.585 x1
C: 0.671 0.000 0.892 x1
C: 0.887 0.500 0.584 x1

Output
volume = 7.06 Å³ per atom
magnetic moment = 0.000 μB/cell
ρ = 2.635 Mg/m³



2.
# B2C

A geometry-optimized B2C structure (PBE-GGA, Alexandria).

Cell lengths 5.205, 10.033, 4.047 Å; angles 90.00, 113.14, 90.00 degrees
Space group C2/c (No. 15)
Symmetry-distinct sites (fractional):
B: 0.181 0.006 0.356 x8
B: 0.183 0.194 0.825 x8
C: 0.155 0.403 0.315 x8

Output
volume = 8.10 Å³ per atom
magnetic moment = 0.000 μB/cell
ρ = 2.299 Mg/m³



It is 2 that is the most stable of them.